# Sc2PdRu

A PBEsol-optimized structure of Sc2PdRu (meta-GGA SCAN, the Alexandria database).

Cell and atoms, written as extended XYZ:
```
4
Lattice="-0.596 0.242 4.484 -0.676 -3.780 2.402 3.225 -1.512 2.799" Properties=species:S:1:pos:R:3 pbc="T T T"
Sc 0.488 -1.263 2.421
Sc 1.464 -3.788 7.264
Ru 0.000 0.000 0.000
Pd 0.976 -2.525 4.842
```

Summary:
Its space-group type is Fm-3m (225). Its formation energy is -894 meV/atom. The density of states at the Fermi level is 1.13 states/eV per cell.

***

# MnP2O7

A PBEsol-optimized structure of MnP2O7 (meta-GGA SCAN, the Alexandria database).

Cell and atoms, written as extended XYZ:
```
20
Lattice="-1.945 -0.177 4.277 6.694 -1.100 0.941 1.130 7.582 0.828" Properties=species:S:1:pos:R:3 pbc="T T T"
Mn 4.467 -0.774 1.636
Mn 0.868 3.424 4.010
P 5.363 4.743 4.783
P 0.570 1.917 1.301
P 2.340 0.791 3.229
P 3.405 4.609 2.718
O 5.986 5.978 4.109
O 6.399 5.296 1.675
O -0.361 2.076 4.487
O -0.333 4.817 4.346
O 2.050 -0.330 4.204
O 2.261 2.197 3.834
O 2.065 4.751 3.446
O 0.309 3.108 2.240
O 3.390 3.683 1.519
O 4.483 3.948 3.703
O 1.149 0.693 2.160
O 3.686 0.692 2.505
O 3.904 6.026 2.421
O 6.029 0.252 1.564
```

Summary:
As for the raw formation energy: -2.31 eV/atom. Its space-group type is P2_1 (4). As for the energy relative to the lowest polymorph listed for this composition: 2.9 meV per atom. The density of states at the Fermi level is 0.00 states/eV per cell.

***

# Nb5Ge4

A PBEsol-optimized structure of Nb5Ge4 (meta-GGA SCAN, the Alexandria database).

Cell and atoms, written as extended XYZ:
```
36
Lattice="6.695 0.000 0.000 0.000 6.775 0.000 0.000 0.000 13.100" Properties=species:S:1:pos:R:3 pbc="T T T"
Nb 6.573 4.573 11.971
Nb 3.226 5.590 7.679
Nb 3.469 1.185 1.129
Nb 0.122 2.203 5.421
Nb 6.573 4.573 7.679
Nb 3.226 5.590 11.971
Nb 3.469 1.185 5.421
Nb 0.122 2.203 1.129
Nb 1.039 1.115 11.470
Nb 4.386 2.273 8.180
Nb 2.308 4.502 1.630
Nb 5.656 5.661 4.920
Nb 5.656 5.661 1.630
Nb 2.308 4.502 4.920
Nb 4.386 2.273 11.470
Nb 1.039 1.115 8.180
Nb 5.556 0.053 9.825
Nb 2.209 3.335 9.825
Nb 4.486 3.441 3.275
Nb 1.139 6.722 3.275
Ge 2.088 3.151 12.563
Ge 5.435 0.236 7.087
Ge 1.260 6.539 0.537
Ge 4.607 3.624 6.013
Ge 4.607 3.624 0.537
Ge 1.260 6.539 6.013
Ge 5.435 0.236 12.563
Ge 2.088 3.151 7.087
Ge 4.574 4.473 9.825
Ge 1.227 5.690 9.825
Ge 5.468 1.085 3.275
Ge 2.121 2.302 3.275
Ge 6.399 2.690 9.825
Ge 3.051 0.698 9.825
Ge 3.643 6.077 3.275
Ge 0.296 4.086 3.275
```

Summary:
Its space-group type is Pnma (62). Its formation energy is -500 meV/atom. The density of states at the Fermi level is 18.96 states/eV per cell.

***

# Li2InRh

A PBEsol-optimized structure of Li2InRh (meta-GGA SCAN, the Alexandria database).

Cell and atoms, written as extended XYZ:
```
4
Lattice="3.243 0.000 0.000 0.000 3.243 0.000 0.000 0.000 5.558" Properties=species:S:1:pos:R:3 pbc="T T T"
In 1.621 1.621 2.779
Li 0.000 0.000 4.373
Li 0.000 0.000 1.184
Rh 1.621 1.621 0.000
```

Summary:
Its space-group type is P4/mmm (123). Its formation energy is -241 meV/atom. The density of states at the Fermi level is 1.44 states/eV per cell.

***

# Co2AgCl

A PBEsol-optimized structure of Co2AgCl (meta-GGA SCAN, the Alexandria database).

Cell and atoms, written as extended XYZ:
```
4
Lattice="-2.092 -1.755 -0.992 1.873 0.033 -4.008 2.441 -3.537 1.111" Properties=species:S:1:pos:R:3 pbc="T T T"
Co 0.000 0.000 0.000
Co -0.109 -0.861 -2.500
Ag 0.174 -2.646 0.060
Cl 2.157 -1.752 -1.448
```

Summary:
As for the raw formation energy: 0.52 eV/atom. Its space-group type is Pmmm (47). As for the energy relative to the lowest polymorph listed for this composition: 0.0 meV per atom. The density of states at the Fermi level is 1.13 states/eV per cell.

***

# LiCa2Mg

A PBEsol-optimized structure of LiCa2Mg (meta-GGA SCAN, the Alexandria database).

Cell and atoms, written as extended XYZ:
```
4
Lattice="-1.399 3.508 -0.131 -0.512 -0.010 5.203 6.533 0.613 0.644" Properties=species:S:1:pos:R:3 pbc="T T T"
Ca 6.114 0.692 0.602
Ca 0.737 2.695 2.704
Mg 4.086 2.005 3.032
Li 2.786 1.392 0.277
```

Summary:
Its space-group type is Pm (6). Its formation energy is -4 meV/atom. The density of states at the Fermi level is 3.04 states/eV per cell.

***

# SrMnMo

A PBEsol-optimized structure of SrMnMo (meta-GGA SCAN, the Alexandria database).

Cell and atoms, written as extended XYZ:
```
3
Lattice="-2.178 0.936 2.201 -0.921 -1.806 -2.521 1.213 -5.645 3.602" Properties=species:S:1:pos:R:3 pbc="T T T"
Mn 1.140 -5.307 3.387
Mo -0.443 -5.069 1.718
Sr -1.371 -1.783 1.779
```

Summary:
Its space-group type is P3m1 (156). Its formation energy is 974 meV/atom. The density of states at the Fermi level is 2.06 states/eV per cell.

***

# SbBrN3

A PBEsol-optimized structure of SbBrN3 (meta-GGA SCAN, the Alexandria database).

Cell and atoms, written as extended XYZ:
```
5
Lattice="4.066 0.000 0.000 0.000 4.066 0.000 0.000 0.000 4.066" Properties=species:S:1:pos:R:3 pbc="T T T"
Sb 0.000 0.000 0.000
Br 2.033 2.033 2.033
N 0.000 2.033 0.000
N 0.000 0.000 2.033
N 2.033 0.000 0.000
```

Summary:
As for the raw formation energy: 1.91 eV/atom. Its space-group type is Pm-3m (221). The density of states at the Fermi level is 1.41 states/eV per cell.

***

# Pr5Ru2

A PBEsol-optimized structure of Pr5Ru2 (meta-GGA SCAN, the Alexandria database).

Cell and atoms, written as extended XYZ:
```
14
Lattice="-2.936 2.378 5.323 5.942 -1.525 3.958 3.693 6.372 -4.811" Properties=species:S:1:pos:R:3 pbc="T T T"
Pr 5.514 0.271 3.816
Pr 6.435 4.346 -1.499
Pr 1.185 6.954 0.654
Pr 0.264 2.879 5.969
Pr 4.092 3.414 5.354
Pr 5.124 3.417 1.920
Pr 2.608 3.811 -0.884
Pr 1.576 3.808 2.550
Pr 2.758 0.232 6.049
Pr 0.249 0.621 3.233
Ru 3.054 1.497 3.340
Ru 7.847 3.969 0.877
Ru 3.645 5.728 1.130
Ru -1.147 3.256 3.593
```

Summary:
Its space-group type is C2/c (15). Its formation energy is -245 meV/atom. The density of states at the Fermi level is 11.57 states/eV per cell.

***

# ScRh2

A PBEsol-optimized structure of ScRh2 (meta-GGA SCAN, the Alexandria database).

Cell and atoms, written as extended XYZ:
```
12
Lattice="3.846 0.000 0.000 0.000 3.846 0.000 -1.923 -1.923 12.260" Properties=species:S:1:pos:R:3 pbc="T T T"
Rh 1.923 1.923 6.128
Rh 0.000 0.000 6.132
Rh 1.923 0.000 12.257
Rh 1.923 0.000 0.002
Rh 1.923 1.923 2.016
Rh 0.000 0.000 10.244
Rh 1.923 0.000 8.146
Rh 1.923 0.000 4.114
Sc 1.923 1.923 10.399
Sc 0.000 0.000 1.861
Sc 0.000 1.923 4.269
Sc 0.000 1.923 7.991
```

Summary:
Its space-group type is I4_1/amd (141). Its formation energy is -764 meV/atom. The density of states at the Fermi level is 11.61 states/eV per cell.

***

Number 1: total magnetic moment 0.000 μB/cell, volume 66 Å³ per cell, raw total energy -99.6 eV per cell. Number 2: total magnetic moment 6.074 μB/cell, volume 239 Å³ per cell, raw total energy -211.5 eV per cell. Number 3: total magnetic moment 0.000 μB/cell, volume 594 Å³ per cell, raw total energy -986.0 eV per cell. Number 4: total magnetic moment 0.000 μB/cell, volume 58 Å³ per cell, raw total energy -72.9 eV per cell. Number 5: total magnetic moment 4.049 μB/cell, volume 57 Å³ per cell, raw total energy -71.9 eV per cell. Number 6: total magnetic moment 0.089 μB/cell, volume 125 Å³ per cell, raw total energy -26.7 eV per cell. Number 7: total magnetic moment 1.164 μB/cell, volume 62 Å³ per cell, raw total energy -72.5 eV per cell. Number 8: total magnetic moment 5.047 μB/cell, volume 67 Å³ per cell, raw total energy -75.1 eV per cell. Number 9: total magnetic moment 0.000 μB/cell, volume 387 Å³ per cell, raw total energy -576.0 eV per cell. Number 10: total magnetic moment 0.000 μB/cell, volume 181 Å³ per cell, raw total energy -336.3 eV per cell.